(1)
DFT (PBE-GGA) results for an optimized crystal structure of Pu3AlFe3.

Results
Total energy ... -0.381 Ha/atom
Space-group type ... Cmcm (63)
Energy relative to the elements ... -52.3 meV/atom

POSCAR file:
```
Pu3AlFe3
1.0
2.1678 -4.6234 0.0000
2.1678 4.6234 0.0000
0.0000 0.0000 12.6260
Pu Al Fe
6 2 6
Cartesian
2.1678 4.2774 9.4695
2.1678 1.7893 7.6645
2.1678 1.7893 11.2745
2.1678 -1.7893 1.3515
2.1678 -1.7893 4.9615
2.1678 -4.2774 3.1565
0.0000 0.0000 0.0000
0.0000 0.0000 6.3130
2.1678 2.4783 3.1565
2.1678 0.8560 1.0396
2.1678 0.8560 5.2734
2.1678 -0.8560 7.3526
2.1678 -0.8560 11.5864
2.1678 -2.4783 9.4695
```

(2)
DFT (PBE-GGA) results for an optimized crystal structure of PrSO4.

Results
Total energy ... -0.245 Ha/atom
Space-group type ... P2_1/c (14)
Energy relative to the elements, uncorrected ... -1.883 eV/atom

POSCAR file:
```
PrSO4
1.0
6.8321 0.0000 0.0000
0.0000 7.6832 0.0000
-5.6447 0.0000 6.7729
Pr S O
4 4 16
Cartesian
-1.0897 0.7584 2.4089
-3.9120 3.0832 5.7954
5.0994 4.6000 0.9775
2.2770 6.9248 4.3640
-1.2657 5.4484 4.5728
1.5567 6.0764 1.1863
-0.3694 1.6068 5.5865
2.4530 2.2348 2.2001
0.8019 4.8199 0.8183
-2.0205 6.7048 4.2048
-1.1961 4.5586 3.4039
1.6263 6.9662 0.0175
1.1152 1.9112 1.6387
-1.7072 1.9304 5.0252
-2.0173 4.7674 5.6897
0.8050 6.7574 2.3032
0.3823 0.9258 4.4697
3.2047 2.9158 1.0832
2.8945 5.7528 1.7477
0.0722 5.7720 5.1342
-0.4390 0.7170 6.7554
2.3834 3.1246 3.3690
3.2078 0.9783 2.5681
0.3854 2.8633 5.9546
```

(3)
DFT (PBE-GGA) results for an optimized crystal structure of YCu2W.

Results
Total energy ... -0.235 Ha/atom
Space-group type ... I-4m2 (119)
Energy relative to the elements ... 503.7 meV/atom
Energy relative to the lowest polymorph listed for this composition ... 0.208 eV per atom

POSCAR file:
```
YCu2W
1.0
-1.9611 1.9611 4.4011
1.9611 -1.9611 4.4011
1.9611 1.9611 -4.4011
Y Cu W
1 2 1
Cartesian
0.0000 0.0000 0.0000
1.9611 0.0000 2.2005
0.0000 0.0000 4.4011
0.0000 1.9611 2.2005
```

(4)
DFT (PBE-GGA) results for an optimized crystal structure of La2CdCl.

Results
Total energy ... -0.143 Ha/atom
Space-group type ... Cm (8)
Energy relative to the elements, uncorrected ... -0.726 eV/atom
Energy relative to the lowest polymorph listed for this composition ... 0.145 eV per atom

POSCAR file:
```
La2CdCl
1.0
7.3012 -1.8082 0.0000
7.3012 1.8082 0.0000
-1.5895 0.0000 4.5509
La Cd Cl
2 1 1
Cartesian
0.0000 0.0000 0.0000
2.2279 0.0000 3.3387
5.3694 0.0000 1.8786
9.6435 0.0000 0.8260
```

(5)
DFT (PBE-GGA) results for an optimized crystal structure of Er3BS2.

Results
Total energy ... -0.229 Ha/atom
Space-group type ... Fddd (70)
Energy relative to the elements, uncorrected ... -1.473 eV/atom

POSCAR file:
```
Er3BS2
1.0
0.0000 5.4435 11.4572
3.8735 0.0000 11.4572
3.8735 5.4435 0.0000
Er B S
12 4 8
Cartesian
2.8202 1.2303 6.5775
5.0365 4.0826 8.5929
2.9900 1.2303 10.6083
4.9267 3.9521 12.3060
6.9732 6.8044 14.3214
4.7569 3.9521 16.3368
2.9900 6.9349 6.5775
0.7737 4.0826 8.5929
2.8202 6.9349 10.6083
4.7569 9.6567 12.3060
2.7104 6.8044 14.3214
4.9267 9.6567 16.3368
0.9684 1.3609 0.9460
0.9684 1.3609 4.7826
6.7785 9.5262 18.1317
6.7785 9.5262 21.9683
2.9051 4.0826 2.9325
2.9051 4.0826 6.7533
4.8418 6.8044 8.6611
2.9051 4.0826 10.4325
4.8418 6.8044 12.4818
2.9051 4.0826 14.2532
4.8418 6.8044 16.1610
4.8418 6.8044 19.9818
```

(6)
DFT (PBE-GGA) results for an optimized crystal structure of ErHfPtAu.

Results
Total energy ... -0.250 Ha/atom
Space-group type ... F-43m (216)
Energy relative to the elements ... -832.8 meV/atom

POSCAR file:
```
ErHfPtAu
1.0
0.0000 3.4348 3.4348
3.4348 0.0000 3.4348
3.4348 3.4348 0.0000
Er Hf Pt Au
1 1 1 1
Cartesian
0.0000 0.0000 0.0000
3.4348 3.4348 3.4348
5.1523 5.1523 5.1523
1.7174 1.7174 1.7174
```

(7)
DFT (PBE-GGA) results for an optimized crystal structure of AcMnSb2.

Results
Total energy ... -0.205 Ha/atom
Space-group type ... P4/mmm (123)
Energy relative to the elements, uncorrected ... -0.184 eV/atom
Energy relative to the lowest polymorph listed for this composition ... 0.199 eV per atom

POSCAR file:
```
AcMnSb2
1.0
4.0027 0.0000 0.0000
0.0000 4.0027 0.0000
0.0000 0.0000 6.9237
Ac Mn Sb
1 1 2
Cartesian
0.0000 0.0000 0.0000
0.0000 0.0000 3.4618
2.0014 2.0014 2.0065
2.0014 2.0014 4.9172
```

(8)
DFT (PBE-GGA) results for an optimized crystal structure of LiNi2Pt.

Results
Total energy ... -0.186 Ha/atom
Space-group type ... I4/mmm (139)
Energy relative to the elements ... -183.6 meV/atom

POSCAR file:
```
LiNi2Pt
1.0
-1.8192 1.8192 3.6891
1.8192 -1.8192 3.6891
1.8192 1.8192 -3.6891
Li Ni Pt
1 2 1
Cartesian
0.0000 0.0000 0.0000
1.8192 0.0000 1.8445
0.0000 1.8192 1.8445
0.0000 0.0000 3.6891
```